1.
## Rb2LiPtCl6 (PBE-GGA)

Data for crystalline Rb2LiPtCl6 at its relaxed geometry.

Computed properties:
The crystal system is tetragonal. The total moment is 0.10 μB per atom. Its total energy is -33.81 eV/f.u.

Cell lengths 7.1270, 7.1270, 10.1046 Å; angles 90.00, 90.00, 90.00 degrees
Space group I4/mmm (No. 139)
Symmetry-distinct sites (fractional):
1 Rb 0.0000 0.5000 0.2500
2 Li 0.0000 0.0000 0.0000
3 Pt 0.0000 0.0000 0.5000
4 Cl 0.0000 0.0000 0.2379
5 Cl 0.2334 0.2334 0.5000

2.
## BaAgPO (PBE-GGA)

Data for crystalline BaAgPO at its relaxed geometry.

Computed properties:
The crystal system is orthorhombic. Its total energy is -18.59 eV/f.u.

Cell lengths 3.6825, 7.8816, 5.9396 Å; angles 90.00, 90.00, 90.00 degrees
Space group Pmc2_1 (No. 26)
Symmetry-distinct sites (fractional):
1 Ba 0.0000 0.1480 0.0000
2 Ag 0.5000 0.2423 0.5023
3 P 0.0000 0.4445 0.4700
4 O 0.5000 0.0121 0.7407

Q: Number 1 is which compound?
A: Rb2LiPtCl6

What did the second record say?
## BaAgPO (PBE-GGA)

Data for crystalline BaAgPO at its relaxed geometry.

Computed properties:
The crystal system is orthorhombic. Its total energy is -18.59 eV/f.u.

Cell lengths 3.6825, 7.8816, 5.9396 Å; angles 90.00, 90.00, 90.00 degrees
Space group Pmc2_1 (No. 26)
Symmetry-distinct sites (fractional):
1 Ba 0.0000 0.1480 0.0000
2 Ag 0.5000 0.2423 0.5023
3 P 0.0000 0.4445 0.4700
4 O 0.5000 0.0121 0.7407

Repeat the first record exactly.
## Rb2LiPtCl6 (PBE-GGA)

Data for crystalline Rb2LiPtCl6 at its relaxed geometry.

Computed properties:
The crystal system is tetragonal. The total moment is 0.10 μB per atom. Its total energy is -33.81 eV/f.u.

Cell lengths 7.1270, 7.1270, 10.1046 Å; angles 90.00, 90.00, 90.00 degrees
Space group I4/mmm (No. 139)
Symmetry-distinct sites (fractional):
1 Rb 0.0000 0.5000 0.2500
2 Li 0.0000 0.0000 0.0000
3 Pt 0.0000 0.0000 0.5000
4 Cl 0.0000 0.0000 0.2379
5 Cl 0.2334 0.2334 0.5000